Compound: Sc2FeW
Source: Alexandria
Functional: PBE
Structure: optimized geometry

E_form: 0.217 eV/atom
Crystal system: orthorhombic
SG: Cmmm, No. 65
Energy relative to the lowest polymorph listed for this composition: 186 meV/atom

a b c (Å): 2.880 2.880 8.459
angles (deg): 90.00 90.00 103.54
Site moments in Bohr magnetons follow the coordinates.
Positions (direct):
W 0.500 0.500 0.250  -0.02
Sc 0.000 0.000 0.525  -0.21
Sc 0.000 0.000 0.975  -0.21
Fe 0.500 0.500 0.750  1.55

Compound: HgMoAs2Br
Source: Alexandria
Functional: PBE
Structure: optimized geometry

Formation energy without anion corrections: 0.261 eV per atom
Crystal system: tetragonal
SG: P4/mmm, No. 123
Energy relative to the lowest polymorph listed for this composition: 0 meV/atom

a b c (Å): 4.872 4.872 5.420
angles (deg): 90.00 90.00 90.00
Positions (direct):
Hg 0.500 0.500 0.500
As 0.500 0.000 0.000
As 0.000 0.500 0.000
Mo 0.000 0.000 0.000
Br 0.000 0.000 0.500

Compound: ErPaGaRu
Source: Alexandria
Functional: PBE
Structure: optimized geometry

E_form: -0.293 eV/atom
Crystal system: cubic
SG: F-43m, No. 216

a b c (Å): 4.928 4.928 4.928
angles (deg): 60.00 60.00 60.00
Positions (direct):
Er 0.000 0.000 0.000
Ga 0.250 0.250 0.250
Ru 0.750 0.750 0.750
Pa 0.500 0.500 0.500

Compound: Ac2PrCd2Sn2
Source: Alexandria
Functional: PBE
Structure: optimized geometry

E_form: -0.342 eV/atom
Crystal system: trigonal
SG: R-3m, No. 166

a b c (Å): 4.762 4.762 12.445
angles (deg): 78.97 78.97 60.00
Positions (direct):
Cd 0.619 0.619 0.144
Cd 0.381 0.381 0.856
Ac 0.123 0.123 0.632
Ac 0.877 0.877 0.368
Sn 0.733 0.733 0.800
Sn 0.267 0.267 0.200
Pr 0.000 0.000 0.000

Compound: ScBBr2
Source: Alexandria
Functional: PBE
Structure: optimized geometry

Formation energy without anion corrections: 0.194 eV per atom
Crystal system: trigonal
SG: R-3m, No. 166
Energy relative to the lowest polymorph listed for this composition: 274 meV/atom

a b c (Å): 9.349 9.349 9.349
angles (deg): 21.98 21.98 21.98
Positions (direct):
B 0.000 0.000 0.000
Br 0.102 0.102 0.102
Br 0.898 0.898 0.898
Sc 0.500 0.500 0.500

Compound: NaTm2Tl2Hg5
Source: Alexandria
Functional: PBE
Structure: optimized geometry

E_form: -0.176 eV/atom
Crystal system: tetragonal
SG: P4/mbm, No. 127

a b c (Å): 4.677 10.808 10.808
angles (deg): 90.00 90.00 90.00
Positions (direct):
Hg 0.500 0.316 0.591
Hg 0.500 0.000 0.500
Hg 0.500 0.500 0.000
Hg 0.500 0.091 0.816
Hg 0.500 0.684 0.409
Hg 0.500 0.184 0.091
Hg 0.500 0.909 0.184
Hg 0.500 0.591 0.684
Hg 0.500 0.816 0.909
Hg 0.500 0.409 0.316
Tl 0.000 0.331 0.831
Tl 0.000 0.669 0.169
Tl 0.000 0.169 0.331
Tl 0.000 0.831 0.669
Tm 0.000 0.875 0.375
Tm 0.000 0.625 0.875
Tm 0.000 0.375 0.125
Tm 0.000 0.125 0.625
Na 0.000 0.500 0.500
Na 0.000 0.000 0.000